No. 1
DFT (PBE-GGA) results for crystalline K2TiCl5 at its relaxed geometry.

Its crystal system is orthorhombic. For the raw formation energy, the calculation gives -1779 meV/atom. The value obtained for the spin magnetization is 0.13 μB/atom. The value obtained for the distance to the lowest polymorph of the same formula is 0 meV/atom. The calculation puts the total DFT energy (no corrections) at -4.1947 eV per atom.

abc: 6.9618 9.1064 14.2119
angles: 90.00 90.00 90.00
Each line ends with the local moment (μB).
Fractional coordinates of all 32 atoms:
Ti 0.2500 0.1789 0.0562  0.89
Cl 0.7500 0.7260 0.1062  0.00
K 0.2500 0.1617 0.4150  0.00
Cl 0.5000 0.5000 0.5000  -0.01
Cl 0.5000 0.0000 0.0000  -0.01
Cl 0.2500 0.2740 0.8938  0.00
Ti 0.2500 0.6789 0.4438  0.89
Cl 0.7500 0.2260 0.3938  0.00
K 0.7500 0.3383 0.9150  0.00
Cl 0.2500 0.0460 0.2017  0.00
K 0.2500 0.4512 0.7006  0.00
Cl 0.5041 0.1586 0.6054  -0.01
Cl 0.0041 0.3414 0.1054  -0.01
K 0.7500 0.5488 0.2994  0.00
Cl 0.0041 0.8414 0.3946  -0.01
Cl 0.5041 0.6586 0.8946  -0.01
K 0.7500 0.8383 0.5850  0.00
Cl 0.2500 0.5460 0.2983  0.00
K 0.7500 0.0488 0.2006  0.00
K 0.2500 0.6617 0.0850  0.00
Cl 0.0000 0.0000 0.0000  -0.01
Ti 0.7500 0.3211 0.5562  0.89
Cl 0.7500 0.4540 0.7017  0.00
Cl 0.0000 0.5000 0.5000  -0.01
Cl 0.7500 0.9540 0.7983  0.00
Cl 0.2500 0.7740 0.6062  0.00
Cl 0.4959 0.8414 0.3946  -0.01
Cl 0.9959 0.1586 0.6054  -0.01
Cl 0.9959 0.6586 0.8946  -0.01
Ti 0.7500 0.8211 0.9438  0.89
Cl 0.4959 0.3414 0.1054  -0.01
K 0.2500 0.9512 0.7994  0.00

No. 2
DFT (PBE-GGA) results for crystalline KTi2Cl at its relaxed geometry.

Its crystal system is cubic. For the raw formation energy, the calculation gives 1212 meV/atom. The value obtained for the spin magnetization is 0.00 μB/atom. The value obtained for the distance to the lowest polymorph of the same formula is 770 meV/atom. The calculation puts the total DFT energy (no corrections) at -3.4716 eV per atom.

abc: 5.0174 5.0174 5.0174
angles: 60.00 60.00 60.00
Fractional coordinates of all 4 atoms:
Ti 0.7500 0.7500 0.7500
Ti 0.2500 0.2500 0.2500
K 0.5000 0.5000 0.5000
Cl 0.0000 0.0000 0.0000

No. 3
DFT (PBE-GGA) results for crystalline KTiCl2 at its relaxed geometry.

Its crystal system is tetragonal. For the raw formation energy, the calculation gives -935 meV/atom. The value obtained for the spin magnetization is 0.73 μB/atom. The value obtained for the distance to the lowest polymorph of the same formula is 19 meV/atom. The calculation puts the total DFT energy (no corrections) at -4.1067 eV per atom.

abc: 6.2017 6.2017 7.9886
angles: 67.16 67.16 90.00
Each line ends with the local moment (μB).
Fractional coordinates of all 8 atoms:
Ti 0.0000 0.0000 0.0000  2.01
K 0.2500 0.7500 0.5000  0.02
Cl 0.8750 0.9630 0.7500  -0.02
Cl 0.7130 0.1250 0.2500  -0.01
Cl 0.0370 0.6250 0.2500  -0.02
Ti 0.7500 0.2500 0.5000  1.98
Cl 0.3750 0.2870 0.7500  -0.01
K 0.5000 0.5000 0.0000  0.02

No. 4
DFT (PBE-GGA) results for crystalline K2TiCl4 at its relaxed geometry.

Its crystal system is tetragonal. For the raw formation energy, the calculation gives -1694 meV/atom. The value obtained for the spin magnetization is 0.29 μB/atom. The calculation puts the total DFT energy (no corrections) at -4.1902 eV per atom.

abc: 4.9747 4.9747 8.6931
angles: 73.37 73.37 90.00
Each line ends with the local moment (μB).
Fractional coordinates of all 7 atoms:
Ti 0.0000 0.0000 0.0000  1.63
Cl 0.0000 0.5000 0.0000  -0.01
Cl 0.1610 0.1610 0.6779  0.00
Cl 0.8390 0.8390 0.3221  0.00
K 0.6423 0.6423 0.7154  0.00
Cl 0.5000 0.0000 0.0000  -0.01
K 0.3577 0.3577 0.2846  0.00

No. 5
DFT (PBE-GGA) results for crystalline KTiCl2 at its relaxed geometry.

Its crystal system is cubic. For the raw formation energy, the calculation gives -691 meV/atom. The value obtained for the spin magnetization is 0.75 μB/atom. The value obtained for the distance to the lowest polymorph of the same formula is 264 meV/atom. The calculation puts the total DFT energy (no corrections) at -3.8620 eV per atom.

abc: 5.0720 5.0720 5.0720
angles: 60.00 60.00 60.00
Each line ends with the local moment (μB).
Fractional coordinates of all 4 atoms:
Ti 0.5000 0.5000 0.5000  2.25
K 0.0000 0.0000 0.0000  0.04
Cl 0.2500 0.2500 0.2500  -0.02
Cl 0.7500 0.7500 0.7500  -0.02

No. 6
DFT (PBE-GGA) results for crystalline K2TiCl at its relaxed geometry.

Its crystal system is cubic. For the raw formation energy, the calculation gives 212 meV/atom. The value obtained for the spin magnetization is 0.75 μB/atom. The value obtained for the distance to the lowest polymorph of the same formula is 131 meV/atom. The calculation puts the total DFT energy (no corrections) at -2.7720 eV per atom.

abc: 6.0853 6.0853 6.0853
angles: 60.00 60.00 60.00
Each line ends with the local moment (μB).
Fractional coordinates of all 4 atoms:
Cl 0.0000 0.0000 0.0000  0.01
K 0.7500 0.7500 0.7500  0.02
Ti 0.5000 0.5000 0.5000  2.17
K 0.2500 0.2500 0.2500  0.02

No. 7
DFT (PBE-GGA) results for crystalline KTi4Cl11 at its relaxed geometry.

Its crystal system is orthorhombic. For the raw formation energy, the calculation gives -1620 meV/atom. The value obtained for the spin magnetization is 0.15 μB/atom. The calculation puts the total DFT energy (no corrections) at -4.9316 eV per atom.

abc: 6.8484 13.3386 17.3452
angles: 90.00 90.00 90.00
Each line ends with the local moment (μB).
Fractional coordinates of all 64 atoms:
Cl 0.9960 0.3877 0.9161  -0.01
Cl 0.2500 0.3409 0.4231  -0.01
Ti 0.0414 0.2553 0.5102  0.21
Cl 0.0040 0.6123 0.0839  -0.01
Cl 0.7500 0.8499 0.4110  -0.01
Cl 0.2500 0.4582 0.7499  0.00
Cl 0.2500 0.1709 0.9281  0.00
Ti 0.2500 0.3111 0.6534  0.63
Cl 0.2500 0.6501 0.9110  -0.01
Ti 0.7500 0.6866 0.1631  1.01
Ti 0.5414 0.2447 0.0102  0.21
Cl 0.4960 0.6123 0.0839  -0.01
Cl 0.0003 0.9011 0.9121  0.00
Cl 0.4898 0.7405 0.7511  -0.01
Cl 0.5040 0.3877 0.9161  -0.01
Cl 0.2500 0.9582 0.7501  0.00
Cl 0.7500 0.8291 0.0719  0.00
Cl 0.7500 0.6591 0.5769  -0.01
Cl 0.5003 0.0989 0.0879  0.00
Cl 0.9997 0.5989 0.4121  0.00
Cl 0.2500 0.8243 0.4228  0.00
Cl 0.0102 0.7405 0.7511  -0.01
Ti 0.0414 0.7553 0.9898  0.21
Cl 0.4997 0.4011 0.5879  0.00
K 0.2500 0.9864 0.2764  0.00
Cl 0.9997 0.0989 0.0879  0.00
Cl 0.9960 0.8877 0.5839  -0.01
Cl 0.7500 0.3499 0.0890  -0.01
Cl 0.0003 0.4011 0.5879  0.00
Cl 0.7500 0.1757 0.5772  0.00
Cl 0.7500 0.1591 0.9231  -0.01
Cl 0.2500 0.3243 0.0772  0.00
Ti 0.9586 0.7447 0.4898  0.21
Cl 0.2500 0.8409 0.0769  -0.01
Ti 0.2500 0.3134 0.8369  1.01
Cl 0.7500 0.6757 0.9228  0.00
Cl 0.5102 0.2595 0.2489  -0.01
Ti 0.4586 0.7553 0.9898  0.21
Cl 0.2500 0.1501 0.5890  -0.01
Ti 0.4586 0.2553 0.5102  0.21
Cl 0.5003 0.5989 0.4121  0.00
Cl 0.4960 0.1123 0.4161  -0.01
Cl 0.9898 0.2595 0.2489  -0.01
Cl 0.9898 0.7595 0.2511  -0.01
Cl 0.2500 0.6709 0.5719  0.00
Cl 0.7500 0.0418 0.2499  0.00
Cl 0.5040 0.8877 0.5839  -0.01
Cl 0.0040 0.1123 0.4161  -0.01
Cl 0.4997 0.9011 0.9121  0.00
Cl 0.7500 0.5418 0.2501  0.00
Ti 0.5414 0.7447 0.4898  0.21
Ti 0.2500 0.8134 0.6631  1.01
Cl 0.5102 0.7595 0.2511  -0.01
Ti 0.2500 0.8111 0.8466  0.63
Cl 0.4898 0.2405 0.7489  -0.01
K 0.7500 0.0136 0.7236  0.00
Cl 0.0102 0.2405 0.7489  -0.01
K 0.2500 0.4864 0.2236  0.00
Ti 0.9586 0.2447 0.0102  0.21
Ti 0.7500 0.1866 0.3369  1.01
Cl 0.7500 0.3291 0.4281  0.00
Ti 0.7500 0.1889 0.1534  0.63
Ti 0.7500 0.6889 0.3466  0.63
K 0.7500 0.5136 0.7764  0.00

No. 8
DFT (PBE-GGA) results for crystalline K2TiCl5 at its relaxed geometry.

Its crystal system is tetragonal. For the raw formation energy, the calculation gives -1744 meV/atom. The value obtained for the spin magnetization is 0.13 μB/atom. The value obtained for the distance to the lowest polymorph of the same formula is 35 meV/atom. The calculation puts the total DFT energy (no corrections) at -4.1597 eV per atom.

abc: 7.5942 7.5959 6.9159
angles: 123.33 123.30 90.00
Each line ends with the local moment (μB).
Fractional coordinates of all 8 atoms:
Cl 0.8047 0.2408 0.0457  0.00
Cl 0.7062 0.7066 0.4124  -0.03
Ti 0.9603 0.9604 0.9207  0.89
Cl 0.8044 0.8043 0.0448  0.00
K 0.2601 0.7600 0.5201  0.00
Cl 0.2409 0.2408 0.0456  0.00
Cl 0.2404 0.8042 0.0448  0.00
K 0.7600 0.2599 0.5201  0.00

What did we get for V? Answer: 900.99; 89.31; 256.82; 196.74; 92.26; 159.34; 1584.46; 251.26 Å³ per cell, in the order shown.